A plane-wave DFT calculation with PBE-GGA was carried out for a geometry-optimized NaBeGa3 structure.

```
5
Lattice="5.103 0.000 0.000 0.000 5.103 0.000 0.000 0.000 5.103" Properties=species:S:1:pos:R:3 pbc="T T T"
Na 0.000 0.000 0.000
Ga 0.000 2.551 0.000
Ga 0.000 0.000 2.551
Ga 2.551 0.000 0.000
Be 2.551 2.551 2.551
```

Values from the calculation:
DOS(E_F) = 0.6133 states/eV/atom
distance to the lowest polymorph of the same formula = 1003 meV per atom
ΔE_f = 1.163 eV per atom
VASP energy = -1.662 eV/atom

***

A plane-wave DFT calculation with PBE-GGA was carried out for a geometry-optimized Pm2CdS4 structure.

```
14
Lattice="-1.343 -1.463 6.594 6.919 0.501 1.520 -0.412 7.643 -0.644" Properties=species:S:1:pos:R:3 pbc="T T T"
Pm 4.230 -0.253 5.716
Pm 0.935 6.935 1.754
Pm 1.148 3.133 2.036
Pm 4.016 3.549 5.434
Cd 4.813 1.447 2.502
Cd 0.352 5.235 4.967
S 2.649 1.436 3.910
S 3.498 5.573 7.128
S 1.667 1.109 0.342
S -0.749 1.190 3.164
S 1.468 4.863 0.011
S 5.913 5.491 4.306
S 2.515 5.245 3.560
S 3.697 1.819 7.459
```

Values from the calculation:
formation energy from raw total energies = -1481 meV per atom
VASP energy = -5.327 eV/atom

***

A plane-wave DFT calculation with PBE-GGA was carried out for a geometry-optimized Pm6IrOs2I3 structure.

```
12
Lattice="7.233 -0.001 0.000 -3.615 6.265 0.000 -1.207 -2.090 8.066" Properties=species:S:1:pos:R:3 pbc="T T T"
Pm 3.632 2.059 6.577
Pm 2.397 4.150 1.488
Pm -1.221 2.116 1.488
Pm -0.032 4.175 6.577
Pm 0.015 0.025 6.578
Pm 2.443 0.000 1.488
Ir 0.000 0.000 0.000
Os 0.002 4.176 0.000
Os 3.616 2.089 0.000
I -2.403 4.171 4.033
I 4.814 0.003 4.033
I 1.206 2.087 4.033
```

Values from the calculation:
DOS(E_F) = 0.5131 states/eV/atom
formation energy from raw total energies = -658 meV per atom
VASP energy = -6.031 eV/atom

***

A plane-wave DFT calculation with PBE-GGA was carried out for a geometry-optimized YTlTeO4 structure.

```
14
Lattice="-2.086 4.178 3.592 2.291 -2.933 4.742 7.799 1.039 -3.126" Properties=species:S:1:pos:R:3 pbc="T T T"
Y 3.658 1.568 4.950
Y 4.347 0.716 0.259
Tl 7.599 0.566 2.426
Tl 0.406 1.718 2.782
Te 3.350 -1.334 3.304
Te 4.654 3.618 1.904
O 6.318 -0.666 0.296
O 2.789 1.537 7.196
O 1.686 2.950 4.912
O 5.215 0.747 -1.987
O 2.244 -0.150 4.570
O 5.761 2.434 0.638
O 4.652 0.063 3.539
O 3.352 2.221 1.670
```

Values from the calculation:
DOS(E_F) = 0.0000 states/eV/atom
formation energy from raw total energies = -1799 meV per atom
VASP energy = -6.343 eV/atom

***

A plane-wave DFT calculation with PBE-GGA was carried out for a geometry-optimized TaSi2Ir structure.

```
4
Lattice="5.590 0.001 -0.014 3.415 4.426 0.014 -4.484 -2.250 2.465" Properties=species:S:1:pos:R:3 pbc="T T T"
Ir 1.419 2.048 1.239
Si 0.388 0.191 0.000
Si 2.999 0.078 1.225
Ta 4.218 2.074 0.000
```

Values from the calculation:
DOS(E_F) = 0.2790 states/eV/atom
formation energy from raw total energies = -449 meV per atom
VASP energy = -8.339 eV/atom